# 1
# PBE-GGA PaGa2Rh4, relaxed
data_PaGa2Rh4
_symmetry_space_group_name_H-M 'R -3 m'
_symmetry_Int_Tables_number 166
_symmetry_space_group_name_Hall '-R 3 2"'
_cell_length_a 4.4304
_cell_length_b 4.4304
_cell_length_c 21.2737
_cell_angle_alpha 90.00
_cell_angle_beta 90.00
_cell_angle_gamma 120.00
loop_
_atom_site_label
_atom_site_type_symbol
_atom_site_fract_x
_atom_site_fract_y
_atom_site_fract_z
Pa1 Pa 0.0000 0.0000 0.0000
Ga1 Ga 0.0000 0.0000 0.2408
Rh1 Rh 0.0000 0.0000 0.1226
Rh2 Rh 0.0000 0.0000 0.3874
# Formation energy from the elements: -606 meV per atom
# E_tot: -7.03 eV per atom
# Total magnetization: 0.00 μB per atom
# Fermi-level density of states: 3.1 states/eV/f.u.

***

# 2
# PBE-GGA Pa4Ga16Rh3, relaxed
data_Pa4Ga16Rh3
_symmetry_space_group_name_H-M 'P 4/m m m'
_symmetry_Int_Tables_number 123
_symmetry_space_group_name_Hall '-P 4 2'
_cell_length_a 6.193
_cell_length_b 6.193
_cell_length_c 11.087
_cell_angle_alpha 90.00
_cell_angle_beta 90.00
_cell_angle_gamma 90.00
loop_
_atom_site_label
_atom_site_type_symbol
_atom_site_fract_x
_atom_site_fract_y
_atom_site_fract_z
Pa1 Pa 0.000 0.500 0.191
Ga1 Ga 0.000 0.000 0.199
Ga2 Ga 0.214 0.214 0.000
Ga3 Ga 0.247 0.247 0.379
Ga4 Ga 0.500 0.500 0.227
Rh1 Rh 0.000 0.500 0.500
Rh2 Rh 0.500 0.500 0.000
# Formation energy from the elements: -524 meV per atom
# E_tot: -5.24 eV per atom
# Total magnetization: 0.00 μB per atom
# Fermi-level density of states: 19.8 states/eV/f.u.

***

# 3
# PBE-GGA PaGa2Rh2, relaxed
data_PaGa2Rh2
_symmetry_space_group_name_H-M 'F d d d'
_symmetry_Int_Tables_number 70
_cell_length_a 5.901
_cell_length_b 9.582
_cell_length_c 13.210
_cell_angle_alpha 90.00
_cell_angle_beta 90.00
_cell_angle_gamma 90.00
loop_
_symmetry_equiv_pos_as_xyz
'x,y,z'
'-x,-y,-z'
'-x+1/4,-y+1/4,z'
'x+1/4,y+1/4,-z'
'x,-y+1/4,-z+1/4'
'-x,y+1/4,z+1/4'
'-x+1/4,y,-z+1/4'
'x+1/4,-y,z+1/4'
'x,y+1/2,z+1/2'
'-x,-y+1/2,-z+1/2'
'-x+1/4,-y+3/4,z+1/2'
'x+1/4,y+3/4,-z+1/2'
'x,-y+3/4,-z+3/4'
'-x,y+3/4,z+3/4'
'-x+1/4,y+1/2,-z+3/4'
'x+1/4,-y+1/2,z+3/4'
'x+1/2,y,z+1/2'
'-x+1/2,-y,-z+1/2'
'-x+3/4,-y+1/4,z+1/2'
'x+3/4,y+1/4,-z+1/2'
'x+1/2,-y+1/4,-z+3/4'
'-x+1/2,y+1/4,z+3/4'
'-x+3/4,y,-z+3/4'
'x+3/4,-y,z+3/4'
'x+1/2,y+1/2,z'
'-x+1/2,-y+1/2,-z'
'-x+3/4,-y+3/4,z'
'x+3/4,y+3/4,-z'
'x+1/2,-y+3/4,-z+1/4'
'-x+1/2,y+3/4,z+1/4'
'-x+3/4,y+1/2,-z+1/4'
'x+3/4,-y+1/2,z+1/4'
loop_
_atom_site_label
_atom_site_type_symbol
_atom_site_fract_x
_atom_site_fract_y
_atom_site_fract_z
Pa1 Pa 0.125 0.125 0.125
Ga1 Ga 0.125 0.125 0.528
Rh1 Rh 0.125 0.371 0.625
# Formation energy from the elements: -622 meV per atom
# E_tot: -6.67 eV per atom
# Total magnetization: 0.00 μB per atom
# Fermi-level density of states: 2.7 states/eV/f.u.

***

# 4
# PBE-GGA Pa3Ga7Rh4, relaxed
data_Pa3Ga7Rh4
_symmetry_space_group_name_H-M 'C 1 2/m 1'
_symmetry_Int_Tables_number 12
_symmetry_space_group_name_Hall '-C 2y'
_cell_length_a 15.099
_cell_length_b 4.354
_cell_length_c 8.991
_cell_angle_alpha 90.00
_cell_angle_beta 121.04
_cell_angle_gamma 90.00
loop_
_atom_site_label
_atom_site_type_symbol
_atom_site_fract_x
_atom_site_fract_y
_atom_site_fract_z
Pa1 Pa 0.000 0.000 0.000
Pa2 Pa 0.196 0.500 0.694
Ga1 Ga 0.000 0.000 0.500
Ga2 Ga 0.002 0.500 0.294
Ga3 Ga 0.151 0.000 0.428
Ga4 Ga 0.184 0.500 0.028
Rh1 Rh 0.110 0.000 0.855
Rh2 Rh 0.163 0.500 0.284
# Formation energy from the elements: -655 meV per atom
# E_tot: -6.30 eV per atom
# Total magnetization: 0.00 μB per atom
# Fermi-level density of states: 8.2 states/eV/f.u.

***

Q: Among the records above, which one has the lowest Fermi-level density of states?
A: PaGa2Rh2

***

Q: Which value of E_tot does entry 4 give?
A: -6.30 eV per atom